{"formula": "KZrFe2", "functional": "PBE-GGA", "state": "relaxed", "lattice_angstrom": [[1.613, 0.057, 4.361], [0.553, 4.047, 2.222], [-2.831, 1.130, 3.512]], "species": ["K", "Fe", "Fe", "Zr"], "frac_coords": [[0.000, 0.000, 0.000], [0.250, 0.250, 0.250], [0.750, 0.750, 0.750], [0.500, 0.500, 0.500]], "n_ef_per_ev_cell": 12.01, "magnetic_moment_mub_per_atom": 0.0000, "delta_e_f_kj_per_mol_atoms": 129.01, "total_energy_ev_per_fu": -21.22, "space_group": "Fm-3m"}



{"formula": "KZr4Fe", "functional": "PBE-GGA", "state": "relaxed", "lattice_angstrom": [[0.000, 4.220, 4.220], [4.220, 0.000, 4.220], [4.220, 4.220, 0.000]], "species": ["K", "Zr", "Zr", "Zr", "Zr", "Fe"], "frac_coords": [[0.000, 0.000, 0.000], [0.867, 0.378, 0.378], [0.378, 0.378, 0.867], [0.378, 0.867, 0.378], [0.378, 0.378, 0.378], [0.750, 0.750, 0.750]], "n_ef_per_ev_cell": 9.15, "magnetic_moment_mub_per_atom": 0.5227, "delta_e_f_kj_per_mol_atoms": 94.70, "total_energy_ev_per_fu": -37.86, "space_group": "F-43m"}